Computed, not measured: a relaxed LaZn2Ag3 crystal at the GGA-PBE level of DFT.

Calculated values
- density of states at the Fermi level (states/eV per atom) = 0.70
- ΔE_f (eV per atom) = -0.201

a = 4.6472 Å, b = 4.6472 Å, c = 13.2800 Å
α = 90.00°, β = 90.00°, γ = 120.00°
Space group P6_3/mmc (No. 194)
Inequivalent atoms, fractional coordinates:
La 0.0000 0.0000 0.2500
Zn 0.3333 0.6667 0.1103
Ag 0.0000 0.0000 0.0000
Ag 0.3333 0.6667 0.5975